Record 1
First-principles (PBE) data for an optimized crystal structure of Gd2YSn3Pb4, as listed in the Open Quantum Materials Database.

CIF file:
```
data_Gd2YSn3Pb4
_cell_length_a 4.504
_cell_length_b 26.921
_cell_length_c 4.596
_cell_angle_alpha 90.00
_cell_angle_beta 90.00
_cell_angle_gamma 90.00
_symmetry_space_group_name_H-M 'C m m m'
_symmetry_Int_Tables_number 65
_symmetry_space_group_name_Hall '-C 2 2'
loop_
_atom_site_label
_atom_site_type_symbol
_atom_site_fract_x
_atom_site_fract_y
_atom_site_fract_z
_atom_site_occupancy
Gd1 Gd 0.000 0.193 0.000 1
Y1 Y 0.000 0.500 0.500 1
Sn1 Sn 0.000 0.000 0.000 1
Sn2 Sn 0.000 0.289 0.500 1
Pb1 Pb 0.000 0.098 0.500 1
Pb2 Pb 0.000 0.403 0.000 1
```

Properties
energy above the most stable polymorph in this dataset: 0 meV/atom
magnetization: 0.00 μB/f.u.

---

Record 2
First-principles (PBE) data for an optimized crystal structure of TlAg2Pd, as listed in the Open Quantum Materials Database.

CIF file:
```
data_TlAg2Pd
_cell_length_a 6.617
_cell_length_b 6.617
_cell_length_c 6.617
_cell_angle_alpha 90.00
_cell_angle_beta 90.00
_cell_angle_gamma 90.00
_symmetry_space_group_name_H-M 'F -4 3 m'
_symmetry_Int_Tables_number 216
_symmetry_space_group_name_Hall 'F -4 2 3'
loop_
_atom_site_label
_atom_site_type_symbol
_atom_site_fract_x
_atom_site_fract_y
_atom_site_fract_z
_atom_site_occupancy
Tl1 Tl 0.000 0.000 0.000 1
Ag1 Ag 0.000 0.000 0.500 1
Ag2 Ag 0.250 0.250 0.750 1
Pd1 Pd 0.250 0.250 0.250 1
```

Properties
energy: -3.3070 eV/atom

---

Record 3
First-principles (PBE) data for an optimized crystal structure of ScCoNiSb, as listed in the Open Quantum Materials Database.

CIF file:
```
data_ScCoNiSb
_cell_length_a 6.204
_cell_length_b 6.204
_cell_length_c 6.204
_cell_angle_alpha 90.00
_cell_angle_beta 90.00
_cell_angle_gamma 90.00
_symmetry_space_group_name_H-M 'F -4 3 m'
_symmetry_Int_Tables_number 216
_symmetry_space_group_name_Hall 'F -4 2 3'
loop_
_atom_site_label
_atom_site_type_symbol
_atom_site_fract_x
_atom_site_fract_y
_atom_site_fract_z
_atom_site_occupancy
Sc1 Sc 0.000 0.000 0.000 1
Co1 Co 0.250 0.250 0.750 1
Ni1 Ni 0.250 0.250 0.250 1
Sb1 Sb 0.000 0.000 0.500 1
```

Properties
energy above the most stable polymorph in this dataset: 0 meV/atom
magnetization: 0.00 μB/f.u.

---

Record 4
First-principles (PBE) data for an optimized crystal structure of SmBeGe, as listed in the Open Quantum Materials Database.

CIF file:
```
data_SmBeGe
_cell_length_a 6.621
_cell_length_b 6.621
_cell_length_c 6.621
_cell_angle_alpha 90.00
_cell_angle_beta 90.00
_cell_angle_gamma 90.00
_symmetry_space_group_name_H-M 'F -4 3 m'
_symmetry_Int_Tables_number 216
_symmetry_space_group_name_Hall 'F -4 2 3'
loop_
_atom_site_label
_atom_site_type_symbol
_atom_site_fract_x
_atom_site_fract_y
_atom_site_fract_z
_atom_site_occupancy
Sm1 Sm 0.000 0.000 0.000 1
Be1 Be 0.250 0.250 0.750 1
Ge1 Ge 0.250 0.250 0.250 1
```

Properties
energy: -4.0048 eV/atom
magnetization: 0.00 μB/f.u.

---

Record 5
First-principles (PBE) data for an optimized crystal structure of Tm2Sn2Os, as listed in the Open Quantum Materials Database.

CIF file:
```
data_Tm2Sn2Os
_cell_length_a 10.820
_cell_length_b 4.402
_cell_length_c 10.914
_cell_angle_alpha 90.00
_cell_angle_beta 114.94
_cell_angle_gamma 90.00
_symmetry_space_group_name_H-M 'C 1 2/m 1'
_symmetry_Int_Tables_number 12
loop_
_symmetry_equiv_pos_as_xyz
'x,y,z'
'-x,-y,-z'
'-x,y,-z'
'x,-y,z'
'x+1/2,y+1/2,z'
'-x+1/2,-y+1/2,-z'
'-x+1/2,y+1/2,-z'
'x+1/2,-y+1/2,z'
loop_
_atom_site_label
_atom_site_type_symbol
_atom_site_fract_x
_atom_site_fract_y
_atom_site_fract_z
_atom_site_occupancy
Tm1 Tm 0.003 0.000 0.172 1
Tm2 Tm 0.184 0.000 0.630 1
Sn1 Sn 0.037 0.500 0.387 1
Sn2 Sn 0.156 0.500 0.049 1
Os1 Os 0.217 0.500 0.823 1
```

Properties
energy: -6.1216 eV/atom
magnetization: 0.00 μB/f.u.

---

Record 6
First-principles (PBE) data for an optimized crystal structure of AlFeNiOs, as listed in the Open Quantum Materials Database.

CIF file:
```
data_AlFeNiOs
_cell_length_a 5.860
_cell_length_b 5.860
_cell_length_c 5.860
_cell_angle_alpha 90.00
_cell_angle_beta 90.00
_cell_angle_gamma 90.00
_symmetry_space_group_name_H-M 'F -4 3 m'
_symmetry_Int_Tables_number 216
_symmetry_space_group_name_Hall 'F -4 2 3'
loop_
_atom_site_label
_atom_site_type_symbol
_atom_site_fract_x
_atom_site_fract_y
_atom_site_fract_z
_atom_site_occupancy
Al1 Al 0.000 0.000 0.000 1
Fe1 Fe 0.250 0.250 0.250 1
Ni1 Ni 0.250 0.250 0.750 1
Os1 Os 0.000 0.000 0.500 1
```

Properties
energy above the most stable polymorph in this dataset: 0 meV/atom
magnetization: 2.82 μB/f.u.

---

Record 7
First-principles (PBE) data for an optimized crystal structure of TbNbAu, as listed in the Open Quantum Materials Database.

CIF file:
```
data_TbNbAu
_cell_length_a 6.550
_cell_length_b 6.550
_cell_length_c 6.550
_cell_angle_alpha 90.00
_cell_angle_beta 90.00
_cell_angle_gamma 90.00
_symmetry_space_group_name_H-M 'F -4 3 m'
_symmetry_Int_Tables_number 216
_symmetry_space_group_name_Hall 'F -4 2 3'
loop_
_atom_site_label
_atom_site_type_symbol
_atom_site_fract_x
_atom_site_fract_y
_atom_site_fract_z
_atom_site_occupancy
Tb1 Tb 0.000 0.000 0.000 1
Nb1 Nb 0.250 0.250 0.750 1
Au1 Au 0.000 0.000 0.500 1
```

Properties
energy of formation: 0.583 eV/atom
magnetization: 0.89 μB/f.u.

---

Record 8
First-principles (PBE) data for an optimized crystal structure of UInTc, as listed in the Open Quantum Materials Database.

CIF file:
```
data_UInTc
_cell_length_a 6.673
_cell_length_b 6.673
_cell_length_c 6.673
_cell_angle_alpha 90.00
_cell_angle_beta 90.00
_cell_angle_gamma 90.00
_symmetry_space_group_name_H-M 'F -4 3 m'
_symmetry_Int_Tables_number 216
_symmetry_space_group_name_Hall 'F -4 2 3'
loop_
_atom_site_label
_atom_site_type_symbol
_atom_site_fract_x
_atom_site_fract_y
_atom_site_fract_z
_atom_site_occupancy
U1 U 0.000 0.000 0.000 1
In1 In 0.250 0.250 0.750 1
Tc1 Tc 0.250 0.250 0.250 1
```

Properties
energy above the most stable polymorph in this dataset: 27 meV/atom
magnetization: 1.18 μB/f.u.

---

Record 9
First-principles (PBE) data for an optimized crystal structure of SmScFe, as listed in the Open Quantum Materials Database.

CIF file:
```
data_SmScFe
_cell_length_a 6.473
_cell_length_b 6.473
_cell_length_c 6.473
_cell_angle_alpha 90.00
_cell_angle_beta 90.00
_cell_angle_gamma 90.00
_symmetry_space_group_name_H-M 'F -4 3 m'
_symmetry_Int_Tables_number 216
_symmetry_space_group_name_Hall 'F -4 2 3'
loop_
_atom_site_label
_atom_site_type_symbol
_atom_site_fract_x
_atom_site_fract_y
_atom_site_fract_z
_atom_site_occupancy
Sm1 Sm 0.000 0.000 0.000 1
Sc1 Sc 0.000 0.000 0.500 1
Fe1 Fe 0.250 0.250 0.750 1
```

Properties
energy above the most stable polymorph in this dataset: 0 meV/atom
energy of formation: 0.214 eV/atom
magnetization: 0.06 μB/f.u.

---

Record 10
First-principles (PBE) data for an optimized crystal structure of Hf2In3Mo4C3, as listed in the Open Quantum Materials Database.

CIF file:
```
data_Hf2In3Mo4C3
_cell_length_a 9.587
_cell_length_b 5.550
_cell_length_c 14.499
_cell_angle_alpha 90.00
_cell_angle_beta 102.81
_cell_angle_gamma 90.00
_symmetry_space_group_name_H-M 'C 1 2/c 1'
_symmetry_Int_Tables_number 15
loop_
_symmetry_equiv_pos_as_xyz
'x,y,z'
'-x,-y,-z'
'-x,y,-z+1/2'
'x,-y,z+1/2'
'x+1/2,y+1/2,z'
'-x+1/2,-y+1/2,-z'
'-x+1/2,y+1/2,-z+1/2'
'x+1/2,-y+1/2,z+1/2'
loop_
_atom_site_label
_atom_site_type_symbol
_atom_site_fract_x
_atom_site_fract_y
_atom_site_fract_z
_atom_site_occupancy
Hf1 Hf 0.053 0.083 0.409 1
In1 In 0.000 0.452 0.250 1
In2 In 0.183 0.099 0.749 1
Mo1 Mo 0.109 0.417 0.576 1
Mo2 Mo 0.224 0.417 0.924 1
C1 C 0.083 0.249 0.000 1
C2 C 0.250 0.250 0.500 1
```

Properties
energy: -8.5301 eV/atom
magnetization: 0.00 μB/f.u.

---

Record 11
First-principles (PBE) data for an optimized crystal structure of ScZnSi2, as listed in the Open Quantum Materials Database.

CIF file:
```
data_ScZnSi2
_cell_length_a 6.448
_cell_length_b 6.448
_cell_length_c 6.448
_cell_angle_alpha 90.00
_cell_angle_beta 90.00
_cell_angle_gamma 90.00
_symmetry_space_group_name_H-M 'F -4 3 m'
_symmetry_Int_Tables_number 216
_symmetry_space_group_name_Hall 'F -4 2 3'
loop_
_atom_site_label
_atom_site_type_symbol
_atom_site_fract_x
_atom_site_fract_y
_atom_site_fract_z
_atom_site_occupancy
Sc1 Sc 0.000 0.000 0.000 1
Zn1 Zn 0.250 0.250 0.250 1
Si1 Si 0.000 0.000 0.500 1
Si2 Si 0.250 0.250 0.750 1
```

Properties
energy: -4.5294 eV/atom
magnetization: 0.01 μB/f.u.

---

Record 12
First-principles (PBE) data for an optimized crystal structure of ScAgPbS3, as listed in the Open Quantum Materials Database.

CIF file:
```
data_ScAgPbS3
_cell_length_a 3.901
_cell_length_b 13.080
_cell_length_c 10.161
_cell_angle_alpha 90.00
_cell_angle_beta 90.00
_cell_angle_gamma 90.00
_symmetry_space_group_name_H-M 'C m c m'
_symmetry_Int_Tables_number 63
_symmetry_space_group_name_Hall '-C 2c 2'
loop_
_atom_site_label
_atom_site_type_symbol
_atom_site_fract_x
_atom_site_fract_y
_atom_site_fract_z
_atom_site_occupancy
Sc1 Sc 0.000 0.000 0.000 1
Ag1 Ag 0.000 0.449 0.250 1
Pb1 Pb 0.000 0.261 0.750 1
S1 S 0.000 0.078 0.250 1
S2 S 0.000 0.366 0.034 1
```

Properties
energy above the most stable polymorph in this dataset: 22 meV/atom
magnetization: 0.01 μB/f.u.